Density functional theory data (PBE) for an optimized crystal structure of CsS3.

- Crystal system: triclinic
- Excess energy over the best structure of this formula in the dataset: 0 meV per atom
- Calculated total energy: -3.8645 eV/atom
- Fermi-level density of states: 0.00 states/eV/f.u.
- Energy relative to the elements, uncorrected: -0.556 eV per atom

abc: 4.9200 9.6070 11.6447
angles: 85.26 84.73 89.64
With the nearest neighbours (Å) after each atom.
Atoms (fractional coordinates):
Cs1 0.0379 0.3213 0.4050  10 S 3.61-4.04
Cs2 0.1244 0.6863 0.1152  8 S 3.60-3.93
Cs3 0.8756 0.3137 0.8848  8 S 3.60-3.93
Cs4 0.9621 0.6787 0.5950  10 S 3.61-4.04
S1 0.1944 0.0186 0.7109  2 S 2.06-2.12
S2 0.3441 0.9572 0.8720  2 S 2.08-2.12
S3 0.3856 0.2090 0.1402  2 S 2.05-2.08
S4 0.4247 0.6121 0.8256  1 S 2.05
S5 0.4475 0.3484 0.6494  1 S 2.06
S6 0.4685 0.1450 0.6060  2 S 2.06
S7 0.5315 0.8550 0.3940  2 S 2.06
S8 0.5525 0.6516 0.3506  1 S 2.06
S9 0.5753 0.3879 0.1744  1 S 2.05
S10 0.6144 0.7910 0.8598  2 S 2.05-2.08
S11 0.6559 0.0428 0.1280  2 S 2.08-2.12
S12 0.8056 0.9814 0.2891  2 S 2.06-2.12